A geometry-optimized Cu3PdO6 structure, computed with PBE.

Lattice parameters (Å, degrees): 3.0621 6.0066 6.0066 107.81 90.00 90.00
With the nearest neighbours (Å) after each atom.
Positions (direct):
O 0.5000 0.3600 0.6400  2 Pd 2.05, 2 Cu 2.07
Cu 0.5000 0.0000 0.5000  6 O 1.97-2.07
O 0.0000 0.0616 0.3210  3 Cu 1.85-1.97
O 0.0000 0.9384 0.6790  3 Cu 1.85-1.97
Pd 0.0000 0.5000 0.5000  4 O 2.05
Cu 0.0000 0.0000 0.0000  4 O 1.85
O 0.5000 0.6400 0.3600  2 Pd 2.05, 2 Cu 2.07
O 0.0000 0.3210 0.0616  3 Cu 1.85-1.97
O 0.0000 0.6790 0.9384  3 Cu 1.85-1.97
Cu 0.5000 0.5000 0.0000  6 O 1.97-2.07

Properties
Space group   Cmmm (65)
Calculated density   6.2 g cm⁻³
Distance to the lowest polymorph of the same formula   0 meV/atom
Energy relative to the elements, uncorrected   -0.3792 eV/atom



A geometry-optimized Cu2PdO4 structure, computed with PBE.

Lattice parameters (Å, degrees): 3.2185 4.9949 5.9795 119.42 105.61 90.00
With the nearest neighbours (Å) after each atom.
Positions (direct):
O 0.1430 0.8729 0.2861  3 Cu 1.98, 1 Pd 2.05
Cu 0.6890 0.7150 0.3780  4 O 1.85-1.98
Cu 0.3110 0.2850 0.6220  4 O 1.85-1.98
O 0.8570 0.1271 0.7139  3 Cu 1.98, 1 Pd 2.05
Pd 0.0000 0.0000 0.0000  6 O 2.05-2.07
O 0.6035 0.2847 0.2071  1 Cu 1.85
O 0.3965 0.7153 0.7929  1 Cu 1.85

Properties
Space group   C2/m (12)
Calculated density   6.2 g cm⁻³
Distance to the lowest polymorph of the same formula   0 meV/atom
Energy relative to the elements, uncorrected   -0.3922 eV/atom



A geometry-optimized CuPd3O4 structure, computed with PBE.

Lattice parameters (Å, degrees): 5.5631 5.4630 6.7027 90.00 90.00 90.00
With the nearest neighbours (Å) after each atom.
Positions (direct):
Pd 0.4634 0.2795 0.2915  4 O 2.05-2.29
Pd 0.0590 0.2848 0.5000  3 O 1.99-2.08
Pd 0.4634 0.2795 0.7085  4 O 2.05-2.29
Cu 0.4609 0.8784 0.5000  4 O 1.91-2.05
Pd 0.9634 0.7205 0.7915  4 O 2.05-2.29
Pd 0.9634 0.7205 0.2085  4 O 2.05-2.29
O 0.1411 0.7493 0.5000  1 Cu 1.91
Cu 0.9609 0.1216 0.0000  4 O 1.91-2.05
O 0.2054 0.8414 0.0000  1 Cu 2.05, 3 Pd 2.05-2.08
O 0.6411 0.2507 0.0000  1 Cu 1.91
Pd 0.5590 0.7152 0.0000  3 O 1.99-2.08
O 0.1111 0.3297 0.7913  1 Cu 1.99, 2 Pd 1.99-2.06
O 0.6111 0.6703 0.7087  1 Cu 1.99, 2 Pd 1.99-2.06
O 0.1111 0.3297 0.2087  1 Cu 1.99, 2 Pd 1.99-2.06
O 0.7054 0.1586 0.5000  1 Cu 2.05, 3 Pd 2.05-2.08
O 0.6111 0.6703 0.2913  1 Cu 1.99, 2 Pd 1.99-2.06

Properties
Space group   Pmn2_1 (31)
Calculated density   7.3 g cm⁻³
Energy relative to the elements, uncorrected   -0.1559 eV/atom



A geometry-optimized Cu3PdO structure, computed with PBE.

Lattice parameters (Å, degrees): 4.6515 4.6515 4.6515 90.00 90.00 90.00
With the nearest neighbours (Å) after each atom.
Positions (direct):
O 0.5000 0.5000 0.5000  12 Cu 3.29
Cu 0.5000 0.0000 0.0000  2 Pd 2.33
Cu 0.0000 0.0000 0.5000  2 Pd 2.33
Cu 0.0000 0.5000 0.0000  2 Pd 2.33
Pd 0.0000 0.0000 0.0000  6 Cu 2.33

Properties
Space group   Pm-3m (221)
Calculated density   5.2 g cm⁻³
Distance to the lowest polymorph of the same formula   1447 meV/atom
Energy relative to the elements, uncorrected   1.3319 eV/atom



A geometry-optimized CuPdO4 structure, computed with PBE.

Lattice parameters (Å, degrees): 4.3677 5.5478 5.5285 112.31 90.00 90.00
With the nearest neighbours (Å) after each atom.
Positions (direct):
Pd 0.0000 0.0000 0.0000  6 O 2.00-2.01
Cu 0.0000 0.5000 0.5000  6 O 1.95-2.00
Pd 0.5000 0.5000 0.0000  6 O 2.00-2.01
O 0.2464 0.3231 0.1853  1 Cu 1.96, 2 Pd 2.00-2.01
O 0.2445 0.8245 0.6716  2 Cu 1.95-2.00, 1 Pd 2.01
O 0.2536 0.8231 0.1853  1 Cu 1.96, 2 Pd 2.00-2.01
Cu 0.5000 0.0000 0.5000  6 O 1.95-2.00
O 0.7445 0.6755 0.3284  2 Cu 1.95-2.00, 1 Pd 2.01
O 0.7555 0.1755 0.3284  2 Cu 1.95-2.00, 1 Pd 2.01
O 0.7464 0.1769 0.8147  1 Cu 1.96, 2 Pd 2.00-2.01
O 0.7536 0.6769 0.8147  1 Cu 1.96, 2 Pd 2.00-2.01
O 0.2555 0.3245 0.6716  2 Cu 1.95-2.00, 1 Pd 2.01

Properties
Space group   P2_1/c (14)
Calculated density   6.3 g cm⁻³
Distance to the lowest polymorph of the same formula   0 meV/atom
Energy relative to the elements, uncorrected   -0.2001 eV/atom



A geometry-optimized CuPd3O6 structure, computed with PBE.

Lattice parameters (Å, degrees): 5.2490 5.2490 5.6193 62.16 62.16 60.00
With the nearest neighbours (Å) after each atom.
Positions (direct):
Cu 0.8560 0.8560 0.4321  6 O 2.01-2.19
O 0.5545 0.2476 0.2520  1 Cu 2.01, 3 Pd 2.09-2.15
O 0.9460 0.5545 0.2520  1 Cu 2.01, 3 Pd 2.09-2.15
Pd 0.3451 0.3451 0.9646  6 O 2.07-2.10
O 0.7421 0.0566 0.7508  3 Pd 2.07-2.10, 1 Cu 2.19
O 0.4506 0.7421 0.7508  3 Pd 2.07-2.10, 1 Cu 2.19
O 0.0566 0.4506 0.7508  3 Pd 2.07-2.10, 1 Cu 2.19
Pd 0.1482 0.1482 0.5555  6 O 2.08-2.15
O 0.2476 0.9460 0.2520  1 Cu 2.01, 3 Pd 2.09-2.15
Pd 0.6535 0.6535 0.0394  6 O 2.09-2.10

Properties
Space group   R3 (146)
Calculated density   7.0 g cm⁻³
Energy relative to the elements, uncorrected   -0.3452 eV/atom



A geometry-optimized Cu3PdO structure, computed with PBE.

Lattice parameters (Å, degrees): 3.9604 3.9604 3.9604 90.00 90.00 90.00
With the nearest neighbours (Å) after each atom.
Positions (direct):
Cu 0.0000 0.5000 0.0000  2 O 1.98
O 0.0000 0.0000 0.0000  6 Cu 1.98
Pd 0.5000 0.5000 0.5000  12 Cu 2.80
Cu 0.5000 0.0000 0.0000  2 O 1.98
Cu 0.0000 0.0000 0.5000  2 O 1.98

Properties
Space group   Pm-3m (221)
Calculated density   8.4 g cm⁻³
Distance to the lowest polymorph of the same formula   0 meV/atom
Energy relative to the elements, uncorrected   -0.1150 eV/atom



A geometry-optimized CuPdO4 structure, computed with PBE.

Lattice parameters (Å, degrees): 5.1279 5.1279 6.1939 93.71 93.71 69.14
With the nearest neighbours (Å) after each atom.
Positions (direct):
Cu 0.0000 0.5000 0.0000  4 O 1.82-1.93
O 0.7447 0.7882 0.7019  1 Cu 1.82, 1 Pd 1.98
O 0.7882 0.7447 0.2019  1 Cu 1.82, 1 Pd 1.98
Pd 0.0007 0.9993 0.2500  6 O 1.98-2.05
O 0.7977 0.2482 0.0055  1 Cu 1.93, 2 Pd 2.03-2.05
O 0.2553 0.2118 0.2981  1 Cu 1.82, 1 Pd 1.98
O 0.2482 0.7977 0.5055  1 Cu 1.93, 2 Pd 2.03-2.05
O 0.2023 0.7518 0.9945  1 Cu 1.93, 2 Pd 2.03-2.05
O 0.2118 0.2553 0.7981  1 Cu 1.82, 1 Pd 1.98
Cu 0.5000 0.0000 0.5000  4 O 1.82-1.93
O 0.7518 0.2023 0.4945  1 Cu 1.93, 2 Pd 2.03-2.05
Pd 0.9993 0.0007 0.7500  6 O 1.98-2.05

Properties
Space group   C2/c (15)
Calculated density   5.1 g cm⁻³
Distance to the lowest polymorph of the same formula   40 meV/atom
Energy relative to the elements, uncorrected   -0.1600 eV/atom



| no. | energy (eV/atom) |
| --- | --- |
| 1 | -5.102 |
| 2 | -5.138 |
| 3 | -5.094 |
| 4 | -3.156 |
| 5 | -5.054 |
| 6 | -5.288 |
| 7 | -4.603 |
| 8 | -5.014 |